Entry from Alexandria via LeMat-Bulk: a relaxed structure of Tm7Ir2Pd2 (GGA-PBE).

Cell lengths 8.195, 10.295, 6.837 Å; angles 90.00, 90.00, 90.00 degrees
Space group Cmmm (No. 65)
Unique sites:
1 Tm 0.000 0.000 0.000 [2 per cell]
2 Tm 0.000 0.500 0.253 [4 per cell]
3 Tm 0.250 0.250 0.257 [8 per cell]
4 Ir 0.000 0.281 0.000 [4 per cell]
5 Pd 0.213 0.000 0.500 [4 per cell]

As for the calculated volume: 26.22 Å³ per atom. For the calculated total energy, the calculation gives -131.97 eV/cell. As for the spin magnetization: 0.0 μB per formula unit. Its formation energy is -598 meV/atom.